No. 1
# PBE Nd2Er7Cd2, relaxed
# **Formation enthalpy at 0 K**: 0.0384 eV per atom
# **Space-group type**: C2/m
data_Nd2Er7Cd2
_cell_length_a 8.018
_cell_length_b 6.581
_cell_length_c 6.581
_cell_angle_alpha 91.90
_cell_angle_beta 79.82
_cell_angle_gamma 79.82
_symmetry_space_group_name_H-M 'P 1'
_symmetry_Int_Tables_number 1
_symmetry_space_group_name_Hall 'P 1'
loop_
_atom_site_label
_atom_site_fract_x
_atom_site_fract_y
_atom_site_fract_z
_atom_site_occupancy
Er1 0.830 0.478 0.880 1
Er2 0.536 0.305 0.305 1
Er3 0.000 0.000 0.000 1
Er4 0.170 0.120 0.522 1
Er5 0.170 0.522 0.120 1
Er6 0.464 0.695 0.695 1
Cd1 0.855 0.397 0.397 1
Er7 0.830 0.880 0.478 1
Cd2 0.145 0.603 0.603 1
Nd1 0.500 0.181 0.819 1
Nd2 0.500 0.819 0.181 1



No. 2
# PBE Nd3ErCd4, relaxed
# **Formation enthalpy at 0 K**: -0.3129 eV per atom
# **Space-group type**: P4/mmm
data_Nd3ErCd4
_cell_length_a 3.796
_cell_length_b 3.796
_cell_length_c 15.502
_cell_angle_alpha 90.00
_cell_angle_beta 90.00
_cell_angle_gamma 90.00
_symmetry_space_group_name_H-M 'P 1'
_symmetry_Int_Tables_number 1
_symmetry_space_group_name_Hall 'P 1'
loop_
_atom_site_label
_atom_site_fract_x
_atom_site_fract_y
_atom_site_fract_z
_atom_site_occupancy
Nd1 0.500 0.500 0.500 1
Nd2 0.500 0.500 0.245 1
Cd1 0.000 0.000 0.627 1
Cd2 0.000 0.000 0.114 1
Cd3 0.000 0.000 0.886 1
Er1 0.500 0.500 0.000 1
Cd4 0.000 0.000 0.373 1
Nd3 0.500 0.500 0.755 1



No. 3
# PBE Nd2Er8Cd, relaxed
# **Formation enthalpy at 0 K**: 0.0959 eV per atom
# **Space-group type**: C2/m
data_Nd2Er8Cd
_cell_length_a 6.669
_cell_length_b 9.822
_cell_length_c 9.822
_cell_angle_alpha 39.01
_cell_angle_beta 60.07
_cell_angle_gamma 60.07
_symmetry_space_group_name_H-M 'P 1'
_symmetry_Int_Tables_number 1
_symmetry_space_group_name_Hall 'P 1'
loop_
_atom_site_label
_atom_site_fract_x
_atom_site_fract_y
_atom_site_fract_z
_atom_site_occupancy
Er1 0.825 0.247 0.247 1
Er2 0.731 0.595 0.595 1
Er3 0.224 0.336 0.820 1
Er4 0.224 0.820 0.336 1
Er5 0.776 0.664 0.180 1
Er6 0.269 0.405 0.405 1
Er7 0.776 0.180 0.664 1
Cd1 0.000 0.000 0.000 1
Nd1 0.431 0.182 0.182 1
Er8 0.175 0.753 0.753 1
Nd2 0.569 0.818 0.818 1



No. 4
# PBE NdEr2Cd, relaxed
# **Formation enthalpy at 0 K**: -0.0879 eV per atom
# **ΔE to the lowest computed polymorph**: 1.42 kcal/mol of atoms
# **Space-group type**: P4/mmm
data_NdEr2Cd
_cell_length_a 4.869
_cell_length_b 4.867
_cell_length_c 4.867
_cell_angle_alpha 90.00
_cell_angle_beta 90.00
_cell_angle_gamma 90.00
_symmetry_space_group_name_H-M 'P 1'
_symmetry_Int_Tables_number 1
_symmetry_space_group_name_Hall 'P 1'
loop_
_atom_site_label
_atom_site_fract_x
_atom_site_fract_y
_atom_site_fract_z
_atom_site_occupancy
Nd1 0.500 0.500 0.500 1
Cd1 0.500 0.000 0.000 1
Er1 0.000 0.000 0.500 1
Er2 0.000 0.500 0.000 1



No. 5
# PBE NdEr5Cd6, relaxed
# **Formation enthalpy at 0 K**: -0.3109 eV per atom
# **Space-group type**: P2/m
data_NdEr5Cd6
_cell_length_a 5.265
_cell_length_b 7.507
_cell_length_c 8.352
_cell_angle_alpha 90.00
_cell_angle_beta 71.73
_cell_angle_gamma 90.00
_symmetry_space_group_name_H-M 'P 1'
_symmetry_Int_Tables_number 1
_symmetry_space_group_name_Hall 'P 1'
loop_
_atom_site_label
_atom_site_fract_x
_atom_site_fract_y
_atom_site_fract_z
_atom_site_occupancy
Cd1 0.170 0.256 0.660 1
Cd2 0.500 0.256 0.000 1
Cd3 0.830 0.257 0.340 1
Nd1 0.000 0.000 0.000 1
Er1 0.331 0.000 0.337 1
Er2 0.669 0.000 0.663 1
Cd4 0.170 0.743 0.660 1
Cd5 0.500 0.744 0.000 1
Er3 0.664 0.500 0.672 1
Cd6 0.830 0.744 0.340 1
Er4 0.336 0.500 0.328 1
Er5 0.000 0.500 0.000 1



No. 6
# PBE Nd4ErCd, relaxed
# **Formation enthalpy at 0 K**: 0.0027 eV per atom
# **ΔE to the lowest computed polymorph**: 2.21 kcal/mol of atoms
# **Space-group type**: C2/c
data_Nd4ErCd
_cell_length_a 6.413
_cell_length_b 9.103
_cell_length_c 8.519
_cell_angle_alpha 113.16
_cell_angle_beta 100.15
_cell_angle_gamma 112.00
_symmetry_space_group_name_H-M 'P 1'
_symmetry_Int_Tables_number 1
_symmetry_space_group_name_Hall 'P 1'
loop_
_atom_site_label
_atom_site_fract_x
_atom_site_fract_y
_atom_site_fract_z
_atom_site_occupancy
Nd1 0.220 0.596 0.766 1
Nd2 0.360 0.907 0.617 1
Nd3 0.640 0.093 0.383 1
Nd4 0.954 0.830 0.234 1
Nd5 0.780 0.404 0.234 1
Er1 0.339 0.589 0.177 1
Cd1 0.749 0.999 0.998 1
Nd6 0.046 0.170 0.766 1
Cd2 0.251 0.001 0.002 1
Nd7 0.757 0.711 0.617 1
Nd8 0.243 0.289 0.383 1
Er2 0.661 0.411 0.823 1



No. 7
# PBE Nd7ErCd2, relaxed
# **Formation enthalpy at 0 K**: 0.3728 eV per atom
# **Space-group type**: Cmmm
data_Nd7ErCd2
_cell_length_a 5.331
_cell_length_b 9.345
_cell_length_c 9.345
_cell_angle_alpha 121.80
_cell_angle_beta 90.00
_cell_angle_gamma 90.00
_symmetry_space_group_name_H-M 'P 1'
_symmetry_Int_Tables_number 1
_symmetry_space_group_name_Hall 'P 1'
loop_
_atom_site_label
_atom_site_fract_x
_atom_site_fract_y
_atom_site_fract_z
_atom_site_occupancy
Nd1 0.500 0.067 0.299 1
Cd1 0.500 0.304 0.696 1
Nd2 0.500 0.933 0.701 1
Nd3 0.500 0.299 0.067 1
Nd4 0.000 0.221 0.779 1
Er1 0.000 0.000 0.000 1
Nd5 0.000 0.779 0.221 1
Cd2 0.500 0.696 0.304 1
Nd6 0.500 0.701 0.933 1
Nd7 0.500 0.500 0.500 1



No. 8
# PBE Nd8Er6Cd, relaxed
# **Formation enthalpy at 0 K**: 0.1021 eV per atom
# **Space-group type**: P-3
data_Nd8Er6Cd
_cell_length_a 6.445
_cell_length_b 9.407
_cell_length_c 9.407
_cell_angle_alpha 120.00
_cell_angle_beta 90.00
_cell_angle_gamma 90.00
_symmetry_space_group_name_H-M 'P 1'
_symmetry_Int_Tables_number 1
_symmetry_space_group_name_Hall 'P 1'
loop_
_atom_site_label
_atom_site_fract_x
_atom_site_fract_y
_atom_site_fract_z
_atom_site_occupancy
Er1 0.671 0.647 0.098 1
Er2 0.671 0.902 0.548 1
Nd1 0.817 0.043 0.273 1
Nd2 0.183 0.770 0.043 1
Er3 0.329 0.098 0.452 1
Nd3 0.841 0.333 0.667 1
Er4 0.671 0.452 0.353 1
Cd1 0.500 0.000 0.000 1
Er5 0.329 0.353 0.902 1
Er6 0.329 0.548 0.647 1
Nd4 0.183 0.273 0.230 1
Nd5 0.817 0.230 0.957 1
Nd6 0.159 0.667 0.333 1
Nd7 0.817 0.727 0.770 1
Nd8 0.183 0.957 0.727 1



No. 9
# PBE Nd3Er4Cd, relaxed
# **Formation enthalpy at 0 K**: -0.0471 eV per atom
# **ΔE to the lowest computed polymorph**: 0.44 kcal/mol of atoms
# **Space-group type**: Pmn2_1
data_Nd3Er4Cd
_cell_length_a 6.203
_cell_length_b 7.102
_cell_length_c 11.278
_cell_angle_alpha 90.00
_cell_angle_beta 90.00
_cell_angle_gamma 90.00
_symmetry_space_group_name_H-M 'P 1'
_symmetry_Int_Tables_number 1
_symmetry_space_group_name_Hall 'P 1'
loop_
_atom_site_label
_atom_site_fract_x
_atom_site_fract_y
_atom_site_fract_z
_atom_site_occupancy
Er1 0.162 0.892 0.000 1
Er2 0.485 0.878 0.742 1
Er3 0.985 0.122 0.758 1
Cd1 0.153 0.358 0.000 1
Er4 0.143 0.870 0.500 1
Nd1 0.981 0.618 0.234 1
Er5 0.985 0.122 0.242 1
Nd2 0.981 0.618 0.766 1
Nd3 0.481 0.382 0.734 1
Nd4 0.123 0.371 0.500 1
Nd5 0.623 0.629 0.000 1
Cd2 0.653 0.642 0.500 1
Er6 0.662 0.108 0.500 1
Nd6 0.481 0.382 0.266 1
Er7 0.485 0.878 0.258 1
Er8 0.643 0.130 0.000 1



No. 10
# PBE NdErCd2, relaxed
# **Formation enthalpy at 0 K**: -0.3115 eV per atom
# **ΔE to the lowest computed polymorph**: 0.05 kcal/mol of atoms
# **Space-group type**: Fm-3m
data_NdErCd2
_cell_length_a 5.360
_cell_length_b 5.360
_cell_length_c 5.360
_cell_angle_alpha 60.00
_cell_angle_beta 60.00
_cell_angle_gamma 60.00
_symmetry_space_group_name_H-M 'P 1'
_symmetry_Int_Tables_number 1
_symmetry_space_group_name_Hall 'P 1'
loop_
_atom_site_label
_atom_site_fract_x
_atom_site_fract_y
_atom_site_fract_z
_atom_site_occupancy
Er1 0.000 0.000 0.000 1
Cd1 0.750 0.750 0.750 1
Cd2 0.250 0.250 0.250 1
Nd1 0.500 0.500 0.500 1



No. 11
# PBE NdEr7Cd4, relaxed
# **Formation enthalpy at 0 K**: 0.0170 eV per atom
# **Space-group type**: C2/m
data_NdEr7Cd4
_cell_length_a 5.683
_cell_length_b 8.955
_cell_length_c 7.847
_cell_angle_alpha 69.93
_cell_angle_beta 68.77
_cell_angle_gamma 71.50
_symmetry_space_group_name_H-M 'P 1'
_symmetry_Int_Tables_number 1
_symmetry_space_group_name_Hall 'P 1'
loop_
_atom_site_label
_atom_site_fract_x
_atom_site_fract_y
_atom_site_fract_z
_atom_site_occupancy
Er1 0.072 0.585 0.271 1
Er2 0.263 0.692 0.781 1
Er3 0.794 0.880 0.533 1
Er4 0.206 0.120 0.467 1
Cd1 0.542 0.288 0.629 1
Cd2 0.318 0.340 0.024 1
Er5 0.737 0.308 0.219 1
Er6 0.928 0.415 0.729 1
Cd3 0.458 0.712 0.371 1
Er7 0.500 0.000 0.000 1
Nd1 0.000 0.000 0.000 1
Cd4 0.682 0.660 0.976 1



No. 12
# PBE Nd3ErCd6, relaxed
# **Formation enthalpy at 0 K**: -0.2896 eV per atom
# **Space-group type**: P2_1/m
data_Nd3ErCd6
_cell_length_a 5.206
_cell_length_b 9.415
_cell_length_c 11.190
_cell_angle_alpha 104.89
_cell_angle_beta 90.00
_cell_angle_gamma 90.00
_symmetry_space_group_name_H-M 'P 1'
_symmetry_Int_Tables_number 1
_symmetry_space_group_name_Hall 'P 1'
loop_
_atom_site_label
_atom_site_fract_x
_atom_site_fract_y
_atom_site_fract_z
_atom_site_occupancy
Nd1 0.750 0.473 0.608 1
Cd1 0.750 0.851 0.817 1
Nd2 0.250 0.527 0.392 1
Cd2 0.750 0.771 0.521 1
Cd3 0.250 0.870 0.305 1
Er1 0.750 0.052 0.400 1
Er2 0.250 0.948 0.600 1
Nd3 0.250 0.347 0.778 1
Cd4 0.750 0.327 0.295 1
Nd4 0.750 0.238 0.998 1
Nd5 0.250 0.762 0.002 1
Cd5 0.250 0.673 0.705 1
Cd6 0.250 0.149 0.183 1
Cd7 0.250 0.047 0.887 1
Cd8 0.750 0.130 0.695 1
Cd9 0.250 0.229 0.479 1
Cd10 0.750 0.548 0.913 1
Cd11 0.250 0.452 0.087 1
Nd6 0.750 0.653 0.222 1
Cd12 0.750 0.953 0.113 1



No. 13
# PBE NdEr2Cd4, relaxed
# **Formation enthalpy at 0 K**: -0.1407 eV per atom
# **Space-group type**: I4/mmm
data_NdEr2Cd4
_cell_length_a 5.341
_cell_length_b 5.341
_cell_length_c 7.961
_cell_angle_alpha 109.60
_cell_angle_beta 109.60
_cell_angle_gamma 90.00
_symmetry_space_group_name_H-M 'P 1'
_symmetry_Int_Tables_number 1
_symmetry_space_group_name_Hall 'P 1'
loop_
_atom_site_label
_atom_site_fract_x
_atom_site_fract_y
_atom_site_fract_z
_atom_site_occupancy
Cd1 0.121 0.621 0.242 1
Cd2 0.621 0.121 0.242 1
Er1 0.742 0.742 0.484 1
Nd1 0.000 0.000 0.000 1
Cd3 0.379 0.879 0.758 1
Er2 0.258 0.258 0.516 1
Cd4 0.879 0.379 0.758 1



No. 14
# PBE NdEr2Cd, relaxed
# **Formation enthalpy at 0 K**: -0.1496 eV per atom
# **ΔE to the lowest computed polymorph**: 0.00 kcal/mol of atoms
# **Space-group type**: P4/mmm
data_NdEr2Cd
_cell_length_a 3.607
_cell_length_b 3.607
_cell_length_c 9.006
_cell_angle_alpha 90.00
_cell_angle_beta 90.00
_cell_angle_gamma 90.00
_symmetry_space_group_name_H-M 'P 1'
_symmetry_Int_Tables_number 1
_symmetry_space_group_name_Hall 'P 1'
loop_
_atom_site_label
_atom_site_fract_x
_atom_site_fract_y
_atom_site_fract_z
_atom_site_occupancy
Er1 0.000 0.000 0.220 1
Er2 0.000 0.000 0.780 1
Cd1 0.500 0.500 0.000 1
Nd1 0.500 0.500 0.500 1



No. 15
# PBE NdEr7Cd2, relaxed
# **Formation enthalpy at 0 K**: 0.4195 eV per atom
# **Space-group type**: Cmmm
data_NdEr7Cd2
_cell_length_a 5.368
_cell_length_b 8.825
_cell_length_c 8.825
_cell_angle_alpha 118.84
_cell_angle_beta 90.00
_cell_angle_gamma 90.00
_symmetry_space_group_name_H-M 'P 1'
_symmetry_Int_Tables_number 1
_symmetry_space_group_name_Hall 'P 1'
loop_
_atom_site_label
_atom_site_fract_x
_atom_site_fract_y
_atom_site_fract_z
_atom_site_occupancy
Er1 0.000 0.765 0.235 1
Nd1 0.000 0.000 0.000 1
Cd1 0.500 0.696 0.304 1
Cd2 0.500 0.304 0.696 1
Er2 0.000 0.235 0.765 1
Er3 0.500 0.939 0.698 1
Er4 0.500 0.698 0.939 1
Er5 0.500 0.302 0.061 1
Er6 0.500 0.061 0.302 1
Er7 0.500 0.500 0.500 1



No. 16
# PBE Nd3ErCd3, relaxed
# **Formation enthalpy at 0 K**: -0.1030 eV per atom
# **Space-group type**: C2/m
data_Nd3ErCd3
_cell_length_a 7.179
_cell_length_b 7.179
_cell_length_c 8.582
_cell_angle_alpha 94.59
_cell_angle_beta 94.59
_cell_angle_gamma 104.20
_symmetry_space_group_name_H-M 'P 1'
_symmetry_Int_Tables_number 1
_symmetry_space_group_name_Hall 'P 1'
loop_
_atom_site_label
_atom_site_fract_x
_atom_site_fract_y
_atom_site_fract_z
_atom_site_occupancy
Cd1 0.549 0.895 0.713 1
Nd1 0.174 0.826 0.500 1
Cd2 0.451 0.105 0.287 1
Cd3 0.105 0.451 0.287 1
Nd2 0.244 0.756 0.000 1
Nd3 0.362 0.362 0.630 1
Cd4 0.006 0.006 0.206 1
Cd5 0.895 0.549 0.713 1
Nd4 0.756 0.244 0.000 1
Er1 0.701 0.701 0.973 1
Nd5 0.826 0.174 0.500 1
Nd6 0.638 0.638 0.370 1
Cd6 0.994 0.994 0.794 1
Er2 0.299 0.299 0.027 1



No. 17
# PBE Nd2ErCd2, relaxed
# **Formation enthalpy at 0 K**: -0.1828 eV per atom
# **ΔE to the lowest computed polymorph**: 1.36 kcal/mol of atoms
# **Space-group type**: Immm
data_Nd2ErCd2
_cell_length_a 5.023
_cell_length_b 6.017
_cell_length_c 6.017
_cell_angle_alpha 71.45
_cell_angle_beta 65.33
_cell_angle_gamma 65.33
_symmetry_space_group_name_H-M 'P 1'
_symmetry_Int_Tables_number 1
_symmetry_space_group_name_Hall 'P 1'
loop_
_atom_site_label
_atom_site_fract_x
_atom_site_fract_y
_atom_site_fract_z
_atom_site_occupancy
Cd1 0.500 0.287 0.713 1
Cd2 0.500 0.713 0.287 1
Nd1 0.804 0.696 0.696 1
Nd2 0.196 0.304 0.304 1
Er1 0.000 0.000 0.000 1



No. 18
# PBE NdEr3Cd2, relaxed
# **Formation enthalpy at 0 K**: -0.2008 eV per atom
# **Space-group type**: P4/mmm
data_NdEr3Cd2
_cell_length_a 3.663
_cell_length_b 3.663
_cell_length_c 12.581
_cell_angle_alpha 90.00
_cell_angle_beta 90.00
_cell_angle_gamma 90.00
_symmetry_space_group_name_H-M 'P 1'
_symmetry_Int_Tables_number 1
_symmetry_space_group_name_Hall 'P 1'
loop_
_atom_site_label
_atom_site_fract_x
_atom_site_fract_y
_atom_site_fract_z
_atom_site_occupancy
Cd1 0.500 0.500 0.850 1
Er1 0.000 0.000 0.301 1
Nd1 0.500 0.500 0.500 1
Er2 0.000 0.000 0.000 1
Cd2 0.500 0.500 0.150 1
Er3 0.000 0.000 0.699 1



No. 19
# PBE Nd6ErCd5, relaxed
# **Formation enthalpy at 0 K**: -0.2289 eV per atom
# **Space-group type**: Immm
data_Nd6ErCd5
_cell_length_a 5.451
_cell_length_b 7.809
_cell_length_c 9.525
_cell_angle_alpha 114.20
_cell_angle_beta 106.63
_cell_angle_gamma 90.00
_symmetry_space_group_name_H-M 'P 1'
_symmetry_Int_Tables_number 1
_symmetry_space_group_name_Hall 'P 1'
loop_
_atom_site_label
_atom_site_fract_x
_atom_site_fract_y
_atom_site_fract_z
_atom_site_occupancy
Nd1 0.829 0.085 0.659 1
Cd1 0.655 0.155 0.311 1
Nd2 0.829 0.574 0.659 1
Cd2 0.000 0.500 0.000 1
Nd3 0.500 0.265 0.000 1
Nd4 0.171 0.426 0.341 1
Nd5 0.500 0.735 0.000 1
Er1 0.000 0.000 0.000 1
Nd6 0.171 0.915 0.341 1
Cd3 0.668 0.668 0.336 1
Cd4 0.332 0.332 0.664 1
Cd5 0.345 0.845 0.689 1



No. 20
# PBE Nd2ErCdO, relaxed
# **Space-group type**: P4/mmm
# **VASP energy**: -5.28 eV per atom
data_Nd2ErCdO
_cell_length_a 4.690
_cell_length_b 5.024
_cell_length_c 5.024
_cell_angle_alpha 90.00
_cell_angle_beta 90.00
_cell_angle_gamma 90.00
_symmetry_space_group_name_H-M 'P 1'
_symmetry_Int_Tables_number 1
_symmetry_space_group_name_Hall 'P 1'
loop_
_atom_site_label
_atom_site_fract_x
_atom_site_fract_y
_atom_site_fract_z
_atom_site_occupancy
O1 0.000 0.000 0.000 1
Nd1 0.000 0.000 0.500 1
Nd2 0.000 0.500 0.000 1
Er1 0.500 0.000 0.000 1
Cd1 0.500 0.500 0.500 1



no.,calculated volume (Å³/cell)
1,335.7
2,223.4
3,343.7
4,115.3
5,313.4
6,392.2
7,395.6
8,494.0
9,496.8
10,108.9
11,341.0
12,530.0
13,199.9
14,117.2
15,366.2
16,425.1
17,147.9
18,168.9
19,351.2
20,118.4